DFT (PBE-GGA) results for a geometry-optimized SrTaAuO5 structure.

## Properties
**E_form (uncorrected)**: -186.2 kJ/mol of atoms
**Final energy**: -114.1 eV/cell

Cell lengths 5.896, 5.896, 7.723 Å; angles 99.58, 99.58, 115.89 degrees
Element x y z (fractional)
Sr (0.310, 0.690, 0.250)
Sr (0.690, 0.310, 0.750)
Ta (0.000, 0.000, 0.500)
Ta (0.000, 0.000, 0.000)
Au (0.662, 0.338, 0.250)
Au (0.338, 0.662, 0.750)
O (0.052, 0.948, 0.250)
O (0.948, 0.052, 0.750)
O (0.826, 0.216, 0.060)
O (0.174, 0.784, 0.940)
O (0.784, 0.174, 0.440)
O (0.216, 0.826, 0.560)
O (0.677, 0.650, 0.426)
O (0.323, 0.350, 0.574)
O (0.350, 0.323, 0.074)
O (0.650, 0.677, 0.926)